Record 1
Crystalline MnNiSb6 at its relaxed geometry, computed with GGA-PBE.

Lattice parameters (Å, degrees): 7.9727 7.9727 9.2105 124.92 124.92 70.95
Element x y z (fractional)
Mn  0.0000  0.5000  0.0000
Mn  0.5000  0.0000  0.0000
Ni  0.0000  0.5000  0.5000
Ni  0.5000  0.0000  0.5000
Sb  0.1568  0.8399  0.3336
Sb  0.1601  0.8432  0.6664
Sb  0.1770  0.5066  0.8430
Sb  0.3327  0.3327  0.1732
Sb  0.3380  0.3380  0.4966
Sb  0.4934  0.8230  0.1570
Sb  0.5066  0.1770  0.8430
Sb  0.6620  0.6620  0.5034
Sb  0.6673  0.6673  0.8268
Sb  0.8230  0.4934  0.1570
Sb  0.8399  0.1568  0.3336
Sb  0.8432  0.1601  0.6664

Properties
Symmetry: C2/m
ΔE_f (raw): -77.6 meV per atom

---

Record 2
Crystalline Ac2InCl at its relaxed geometry, computed with GGA-PBE.

Lattice parameters (Å, degrees): 3.8156 3.8156 8.6879 90.00 90.00 90.00
Element x y z (fractional)
Ac  0.0000  0.0000  0.2483
Ac  0.0000  0.0000  0.7517
In  0.5000  0.5000  0.0000
Cl  0.5000  0.5000  0.5000

Properties
Symmetry: P4/mmm
Distance to the lowest polymorph of the same formula: 3.6 meV per atom
ΔE_f (raw): -860.5 meV per atom

---

Record 3
Crystalline PuTeSe4 at its relaxed geometry, computed with GGA-PBE.

Lattice parameters (Å, degrees): 6.9069 6.8814 7.0304 90.00 97.28 90.00
Element x y z (fractional)
Pu  0.0000  0.0000  0.0000
Pu  0.0000  0.5000  0.5000
Te  0.5000  0.0000  0.5000
Te  0.5000  0.5000  0.0000
Se  0.1944  0.2110  0.3154
Se  0.1944  0.2890  0.8154
Se  0.2747  0.7207  0.2540
Se  0.2747  0.7793  0.7540
Se  0.7253  0.2207  0.2460
Se  0.7253  0.2793  0.7460
Se  0.8056  0.7110  0.1846
Se  0.8056  0.7890  0.6846

Properties
Symmetry: P2_1/c
ΔE_f (raw): -488.4 meV per atom

---

Record 4
Crystalline BaTa2W at its relaxed geometry, computed with GGA-PBE.

Lattice parameters (Å, degrees): 3.1729 4.9860 5.2660 90.00 90.00 90.00
Element x y z (fractional)
Ba  0.0000  0.0000  0.0000
Ta  0.0000  0.5000  0.5000
Ta  0.5000  0.5000  0.0000
W  0.5000  0.0000  0.5000

Properties
DFT formation energy: 1.359 eV per atom
Symmetry: Pmmm
Distance to the lowest polymorph of the same formula: 761.4 meV per atom

---

Record 5
Crystalline TbScCu at its relaxed geometry, computed with GGA-PBE.

Lattice parameters (Å, degrees): 4.5824 4.5824 3.7970 90.00 90.00 120.00
Element x y z (fractional)
Tb  0.0000  0.0000  0.0000
Sc  0.3333  0.6667  0.4954
Cu  0.6667  0.3333  0.5504

Properties
DFT formation energy: 0.017 eV per atom
Symmetry: P3m1
Distance to the lowest polymorph of the same formula: 180.8 meV per atom

---

Record 6
Crystalline Hf3ZrSi at its relaxed geometry, computed with GGA-PBE.

Lattice parameters (Å, degrees): 5.0654 5.0654 5.0654 90.00 90.00 90.00
Element x y z (fractional)
Hf  0.0000  0.0000  0.5000
Hf  0.0000  0.5000  0.0000
Hf  0.5000  0.0000  0.0000
Zr  0.0000  0.0000  0.0000
Si  0.5000  0.5000  0.5000

Properties
Symmetry: Pm-3m
Distance to the lowest polymorph of the same formula: 1182.8 meV per atom
ΔE_f (raw): 1438.9 meV per atom

---

Record 7
Crystalline KAsPS2 at its relaxed geometry, computed with GGA-PBE.

Lattice parameters (Å, degrees): 5.0171 5.0171 4.8074 90.00 90.00 90.00
Element x y z (fractional)
K  0.0000  0.0000  0.0000
As  0.5000  0.5000  0.5000
P  0.5000  0.5000  0.0000
S  0.0000  0.5000  0.5000
S  0.5000  0.0000  0.5000

Properties
Symmetry: P4/mmm
Distance to the lowest polymorph of the same formula: 0.0 meV per atom
ΔE_f (raw): 144.4 meV per atom

---

Record 8
Crystalline PaPd2O6 at its relaxed geometry, computed with GGA-PBE.

Lattice parameters (Å, degrees): 5.2997 5.2997 4.7136 90.00 90.00 120.00
Element x y z (fractional)
Pa  0.0000  0.0000  0.0000
Pd  0.3333  0.6667  0.5000
Pd  0.6667  0.3333  0.5000
O  0.0000  0.3428  0.7353
O  0.0000  0.6572  0.2647
O  0.3428  0.0000  0.7353
O  0.3428  0.3428  0.2647
O  0.6572  0.0000  0.2647
O  0.6572  0.6572  0.7353

Properties
Symmetry: P-31m
ΔE_f (raw): -1494.7 meV per atom

---

Record 9
Crystalline Nd12SnRh6 at its relaxed geometry, computed with GGA-PBE.

Lattice parameters (Å, degrees): 8.8439 8.8439 8.8439 109.47 109.47 109.47
Element x y z (fractional)
Nd  0.1193  0.3046  0.8147
Nd  0.1853  0.4899  0.3046
Nd  0.1853  0.8807  0.6954
Nd  0.3046  0.1853  0.4899
Nd  0.3046  0.8147  0.1193
Nd  0.4899  0.3046  0.1853
Nd  0.5101  0.6954  0.8147
Nd  0.6954  0.1853  0.8807
Nd  0.6954  0.8147  0.5101
Nd  0.8147  0.1193  0.3046
Nd  0.8147  0.5101  0.6954
Nd  0.8807  0.6954  0.1853
Sn  0.0000  0.0000  0.0000
Rh  0.1313  0.5000  0.6313
Rh  0.3687  0.8687  0.5000
Rh  0.5000  0.3687  0.8687
Rh  0.5000  0.6313  0.1313
Rh  0.6313  0.1313  0.5000
Rh  0.8687  0.5000  0.3687

Properties
DFT formation energy: -0.546 eV per atom
Symmetry: Im-3

---

Record 10
Crystalline HfCoPd2 at its relaxed geometry, computed with GGA-PBE.

Lattice parameters (Å, degrees): 3.8986 3.8986 3.9749 90.00 90.00 90.00
Element x y z (fractional)
Hf  0.0000  0.0000  0.0000
Co  0.5000  0.5000  0.0000
Pd  0.0000  0.5000  0.5000
Pd  0.5000  0.0000  0.5000

Properties
DFT formation energy: -0.585 eV per atom
Symmetry: P4/mmm

---

Record 11
Crystalline LaTb7Pm2 at its relaxed geometry, computed with GGA-PBE.

Lattice parameters (Å, degrees): 9.2964 9.2964 5.5832 90.00 90.00 124.06
Element x y z (fractional)
La  0.0000  0.0000  0.0000
Tb  0.0634  0.2918  0.5000
Tb  0.2176  0.7824  0.0000
Tb  0.2918  0.0634  0.5000
Tb  0.5000  0.5000  0.5000
Tb  0.7082  0.9366  0.5000
Tb  0.7824  0.2176  0.0000
Tb  0.9366  0.7082  0.5000
Pm  0.2970  0.7030  0.5000
Pm  0.7030  0.2970  0.5000

Properties
DFT formation energy: 0.669 eV per atom
Symmetry: Cmmm
Distance to the lowest polymorph of the same formula: 620.8 meV per atom

---

Record 12
Crystalline Li3Y2Pt4 at its relaxed geometry, computed with GGA-PBE.

Lattice parameters (Å, degrees): 7.8623 7.8623 7.5706 90.00 90.00 138.73
Element x y z (fractional)
Li  0.0000  0.0000  0.0000
Li  0.0311  0.4689  0.2500
Li  0.4689  0.0311  0.7500
Li  0.5000  0.5000  0.5000
Li  0.5311  0.9689  0.2500
Li  0.9689  0.5311  0.7500
Y  0.1132  0.8868  0.4116
Y  0.3868  0.6132  0.9116
Y  0.6132  0.3868  0.0884
Y  0.8868  0.1132  0.5884
Pt  0.1780  0.8220  0.0316
Pt  0.2003  0.2997  0.2500
Pt  0.2997  0.2003  0.7500
Pt  0.3220  0.6780  0.5316
Pt  0.6780  0.3220  0.4684
Pt  0.7003  0.7997  0.2500
Pt  0.7997  0.7003  0.7500
Pt  0.8220  0.1780  0.9684

Properties
DFT formation energy: -0.855 eV per atom
Symmetry: Cmce

---

Record 13
Crystalline TaCrBr2 at its relaxed geometry, computed with GGA-PBE.

Lattice parameters (Å, degrees): 8.1072 8.1072 8.1072 156.27 150.27 38.39
Element x y z (fractional)
Ta  0.0000  0.0000  0.0000
Cr  0.5000  0.5000  0.0000
Br  0.1370  0.6370  0.5000
Br  0.8630  0.3630  0.5000

Properties
Symmetry: Immm
Distance to the lowest polymorph of the same formula: 62.0 meV per atom
ΔE_f (raw): 118.6 meV per atom

---

Record 14
Crystalline PrNdPt at its relaxed geometry, computed with GGA-PBE.

Lattice parameters (Å, degrees): 4.1979 4.1979 6.5388 90.00 90.00 120.00
Element x y z (fractional)
Pr  0.0000  0.0000  0.0000
Nd  0.3333  0.6667  0.4905
Pt  0.6667  0.3333  0.2485

Properties
DFT formation energy: -0.668 eV per atom
Symmetry: P3m1
Distance to the lowest polymorph of the same formula: 104.6 meV per atom

---

Record 15
Crystalline Sc3BiRh4 at its relaxed geometry, computed with GGA-PBE.

Lattice parameters (Å, degrees): 8.1629 8.1629 8.1629 32.51 32.51 32.51
Element x y z (fractional)
Sc  0.0000  0.0000  0.0000
Sc  0.2498  0.2498  0.2498
Sc  0.7502  0.7502  0.7502
Bi  0.5000  0.5000  0.5000
Rh  0.1148  0.1148  0.1148
Rh  0.3713  0.3713  0.3713
Rh  0.6287  0.6287  0.6287
Rh  0.8852  0.8852  0.8852

Properties
DFT formation energy: -0.806 eV per atom
Symmetry: R-3m

---

Calculated values (μB per atom) of spin magnetization for the records, taken in order: 0.1330, 0.0000, 0.6789, 0.0000, 0.0000, 0.0000, 0.2456, 0.1245, 0.0000, 0.1841, 0.0000, 0.0000, 0.6448, 0.0000, 0.0000.